#A
BaTlAs | GGA-PBE | relaxed

Values from the calculation:
DOS at the Fermi energy, states/eV/cell: 5.69
SG: No. 216
Total moment, μB/atom: 0.0000

```
data_BaTlAs
_chemical_formula_sum 'Ba4 Tl4 As4'
_space_group_name_H-M_alt 'P 1'
_space_group_IT_number 1
_cell_length_a 7.742
_cell_length_b 7.742
_cell_length_c 7.742
_cell_angle_alpha 90.00
_cell_angle_beta 90.00
_cell_angle_gamma 90.00
loop_
_space_group_symop_operation_xyz
'x,y,z'
loop_
_atom_site_label
_atom_site_type_symbol
_atom_site_fract_x
_atom_site_fract_y
_atom_site_fract_z
Ba1 Ba 0.000 0.000 0.000
Ba2 Ba 0.000 0.500 0.500
Ba3 Ba 0.500 0.000 0.500
Ba4 Ba 0.500 0.500 0.000
Tl1 Tl 0.000 0.000 0.500
Tl2 Tl 0.000 0.500 0.000
Tl3 Tl 0.500 0.000 0.000
Tl4 Tl 0.500 0.500 0.500
As1 As 0.250 0.250 0.750
As2 As 0.250 0.750 0.250
As3 As 0.750 0.250 0.250
As4 As 0.750 0.750 0.750
```

#B
BaTlAs | GGA-PBE | relaxed

Values from the calculation:
SG: No. 156
Total moment, μB/atom: 0.0000

```
data_BaTlAs
_chemical_formula_sum 'Ba1 Tl1 As1'
_space_group_name_H-M_alt 'P 1'
_space_group_IT_number 1
_cell_length_a 4.684
_cell_length_b 4.684
_cell_length_c 5.492
_cell_angle_alpha 90.00
_cell_angle_beta 90.00
_cell_angle_gamma 120.00
loop_
_space_group_symop_operation_xyz
'x,y,z'
loop_
_atom_site_label
_atom_site_type_symbol
_atom_site_fract_x
_atom_site_fract_y
_atom_site_fract_z
Ba1 Ba 0.000 0.000 0.000
Tl1 Tl 0.667 0.333 0.439
As1 As 0.333 0.667 0.674
```

#C
BaTlAs | GGA-PBE | relaxed

Values from the calculation:
DOS at the Fermi energy, states/eV/cell: 3.09
SG: No. 42
Total moment, μB/atom: 0.0000

```
data_BaTlAs
_chemical_formula_sum 'Ba4 Tl4 As4'
_space_group_name_H-M_alt 'P 1'
_space_group_IT_number 1
_cell_length_a 5.271
_cell_length_b 6.186
_cell_length_c 11.822
_cell_angle_alpha 90.00
_cell_angle_beta 90.00
_cell_angle_gamma 90.00
loop_
_space_group_symop_operation_xyz
'x,y,z'
loop_
_atom_site_label
_atom_site_type_symbol
_atom_site_fract_x
_atom_site_fract_y
_atom_site_fract_z
Ba1 Ba 0.000 0.000 0.000
Ba2 Ba 0.000 0.500 0.500
Ba3 Ba 0.500 0.000 0.500
Ba4 Ba 0.500 0.500 0.000
Tl1 Tl 0.000 0.000 0.708
Tl2 Tl 0.000 0.500 0.208
Tl3 Tl 0.500 0.000 0.208
Tl4 Tl 0.500 0.500 0.708
As1 As 0.000 0.000 0.330
As2 As 0.000 0.500 0.830
As3 As 0.500 0.000 0.830
As4 As 0.500 0.500 0.330
```

The most stable arrangement is #B, and the next structure is 134 meV/atom less stable.

#A
Ba2TlAs2 | GGA-PBE | relaxed

Values from the calculation:
DOS at the Fermi energy, states/eV/cell: 2.72
SG: No. 127
Total moment, μB/atom: 0.0000

```
data_Ba2TlAs2
_chemical_formula_sum 'Ba4 Tl2 As4'
_space_group_name_H-M_alt 'P 1'
_space_group_IT_number 1
_cell_length_a 9.478
_cell_length_b 9.478
_cell_length_c 3.801
_cell_angle_alpha 90.00
_cell_angle_beta 90.00
_cell_angle_gamma 90.00
loop_
_space_group_symop_operation_xyz
'x,y,z'
loop_
_atom_site_label
_atom_site_type_symbol
_atom_site_fract_x
_atom_site_fract_y
_atom_site_fract_z
Ba1 Ba 0.135 0.365 0.000
Ba2 Ba 0.365 0.865 0.000
Ba3 Ba 0.635 0.135 0.000
Ba4 Ba 0.865 0.635 0.000
Tl1 Tl 0.000 0.000 0.000
Tl2 Tl 0.500 0.500 0.000
As1 As 0.166 0.666 0.500
As2 As 0.334 0.166 0.500
As3 As 0.666 0.834 0.500
As4 As 0.834 0.334 0.500
```

#B
Ba2TlAs2 | GGA-PBE | relaxed

Values from the calculation:
DOS at the Fermi energy, states/eV/cell: 6.71
SG: No. 139
Total moment, μB/atom: 0.0000

```
data_Ba2TlAs2
_chemical_formula_sum 'Ba4 Tl2 As4'
_space_group_name_H-M_alt 'P 1'
_space_group_IT_number 1
_cell_length_a 5.718
_cell_length_b 5.718
_cell_length_c 11.693
_cell_angle_alpha 90.00
_cell_angle_beta 90.00
_cell_angle_gamma 90.00
loop_
_space_group_symop_operation_xyz
'x,y,z'
loop_
_atom_site_label
_atom_site_type_symbol
_atom_site_fract_x
_atom_site_fract_y
_atom_site_fract_z
Ba1 Ba 0.000 0.500 0.250
Ba2 Ba 0.000 0.500 0.750
Ba3 Ba 0.500 0.000 0.250
Ba4 Ba 0.500 0.000 0.750
Tl1 Tl 0.000 0.000 0.000
Tl2 Tl 0.500 0.500 0.500
As1 As 0.000 0.000 0.392
As2 As 0.000 0.000 0.608
As3 As 0.500 0.500 0.108
As4 As 0.500 0.500 0.892
```

The most stable arrangement is #A, and the next structure is 130 meV/atom less stable.

#A
BaTl3As | GGA-PBE | relaxed

Values from the calculation:
DOS at the Fermi energy, states/eV/cell: 4.30
SG: No. 221
Total moment, μB/atom: 0.0000

```
data_BaTl3As
_chemical_formula_sum 'Ba1 Tl3 As1'
_space_group_name_H-M_alt 'P 1'
_space_group_IT_number 1
_cell_length_a 5.690
_cell_length_b 5.690
_cell_length_c 5.690
_cell_angle_alpha 90.00
_cell_angle_beta 90.00
_cell_angle_gamma 90.00
loop_
_space_group_symop_operation_xyz
'x,y,z'
loop_
_atom_site_label
_atom_site_type_symbol
_atom_site_fract_x
_atom_site_fract_y
_atom_site_fract_z
Ba1 Ba 0.000 0.000 0.000
Tl1 Tl 0.000 0.500 0.500
Tl2 Tl 0.500 0.000 0.500
Tl3 Tl 0.500 0.500 0.000
As1 As 0.500 0.500 0.500
```

#B
BaTl3As | GGA-PBE | relaxed

Values from the calculation:
DOS at the Fermi energy, states/eV/cell: 4.71
SG: No. 221
Total moment, μB/atom: 0.0158

```
data_BaTl3As
_chemical_formula_sum 'Ba1 Tl3 As1'
_space_group_name_H-M_alt 'P 1'
_space_group_IT_number 1
_cell_length_a 6.367
_cell_length_b 6.367
_cell_length_c 6.367
_cell_angle_alpha 90.00
_cell_angle_beta 90.00
_cell_angle_gamma 90.00
loop_
_space_group_symop_operation_xyz
'x,y,z'
loop_
_atom_site_label
_atom_site_type_symbol
_atom_site_fract_x
_atom_site_fract_y
_atom_site_fract_z
Ba1 Ba 0.000 0.000 0.000
Tl1 Tl 0.000 0.000 0.500
Tl2 Tl 0.000 0.500 0.000
Tl3 Tl 0.500 0.000 0.000
As1 As 0.500 0.500 0.500
```

The most stable arrangement is #A, and the next structure is 870 meV/atom less stable.

#A
BaTlAs3 | GGA-PBE | relaxed

Values from the calculation:
DOS at the Fermi energy, states/eV/cell: 6.12
SG: No. 221
Total moment, μB/atom: 0.0000

```
data_BaTlAs3
_chemical_formula_sum 'Ba1 Tl1 As3'
_space_group_name_H-M_alt 'P 1'
_space_group_IT_number 1
_cell_length_a 5.917
_cell_length_b 5.917
_cell_length_c 5.917
_cell_angle_alpha 90.00
_cell_angle_beta 90.00
_cell_angle_gamma 90.00
loop_
_space_group_symop_operation_xyz
'x,y,z'
loop_
_atom_site_label
_atom_site_type_symbol
_atom_site_fract_x
_atom_site_fract_y
_atom_site_fract_z
Ba1 Ba 0.000 0.000 0.000
Tl1 Tl 0.500 0.500 0.500
As1 As 0.000 0.000 0.500
As2 As 0.000 0.500 0.000
As3 As 0.500 0.000 0.000
```

#B
BaTlAs3 | GGA-PBE | relaxed

Values from the calculation:
DOS at the Fermi energy, states/eV/cell: 6.30
SG: No. 221
Total moment, μB/atom: 0.0000

```
data_BaTlAs3
_chemical_formula_sum 'Ba1 Tl1 As3'
_space_group_name_H-M_alt 'P 1'
_space_group_IT_number 1
_cell_length_a 5.413
_cell_length_b 5.413
_cell_length_c 5.413
_cell_angle_alpha 90.00
_cell_angle_beta 90.00
_cell_angle_gamma 90.00
loop_
_space_group_symop_operation_xyz
'x,y,z'
loop_
_atom_site_label
_atom_site_type_symbol
_atom_site_fract_x
_atom_site_fract_y
_atom_site_fract_z
Ba1 Ba 0.000 0.000 0.000
Tl1 Tl 0.500 0.500 0.500
As1 As 0.000 0.500 0.500
As2 As 0.500 0.000 0.500
As3 As 0.500 0.500 0.000
```

The most stable arrangement is #B, and the next structure is 638 meV/atom less stable.

#A
BaVAs2 | GGA-PBE | relaxed

Values from the calculation:
DOS at the Fermi energy, states/eV/cell: 9.46
SG: No. 225
Total moment, μB/atom: 0.5769

```
data_BaVAs2
_chemical_formula_sum 'Ba4 V4 As8'
_space_group_name_H-M_alt 'P 1'
_space_group_IT_number 1
_cell_length_a 7.224
_cell_length_b 7.224
_cell_length_c 7.224
_cell_angle_alpha 90.00
_cell_angle_beta 90.00
_cell_angle_gamma 90.00
loop_
_space_group_symop_operation_xyz
'x,y,z'
loop_
_atom_site_label
_atom_site_type_symbol
_atom_site_fract_x
_atom_site_fract_y
_atom_site_fract_z
Ba1 Ba 0.000 0.000 0.000
Ba2 Ba 0.000 0.500 0.500
Ba3 Ba 0.500 0.000 0.500
Ba4 Ba 0.500 0.500 0.000
V1 V 0.000 0.000 0.500
V2 V 0.000 0.500 0.000
V3 V 0.500 0.000 0.000
V4 V 0.500 0.500 0.500
As1 As 0.250 0.250 0.250
As2 As 0.250 0.250 0.750
As3 As 0.250 0.750 0.250
As4 As 0.250 0.750 0.750
As5 As 0.750 0.250 0.250
As6 As 0.750 0.250 0.750
As7 As 0.750 0.750 0.250
As8 As 0.750 0.750 0.750
```

#B
BaVAs2 | GGA-PBE | relaxed

Values from the calculation:
DOS at the Fermi energy, states/eV/cell: 11.28
SG: No. 166
Total moment, μB/atom: 0.0199

```
data_BaVAs2
_chemical_formula_sum 'Ba3 V3 As6'
_space_group_name_H-M_alt 'P 1'
_space_group_IT_number 1
_cell_length_a 3.657
_cell_length_b 3.657
_cell_length_c 27.613
_cell_angle_alpha 90.00
_cell_angle_beta 90.00
_cell_angle_gamma 120.00
loop_
_space_group_symop_operation_xyz
'x,y,z'
loop_
_atom_site_label
_atom_site_type_symbol
_atom_site_fract_x
_atom_site_fract_y
_atom_site_fract_z
Ba1 Ba 0.000 0.000 0.000
Ba2 Ba 0.333 0.667 0.667
Ba3 Ba 0.667 0.333 0.333
V1 V 0.000 0.000 0.500
V2 V 0.333 0.667 0.167
V3 V 0.667 0.333 0.833
As1 As 0.000 0.000 0.115
As2 As 0.000 0.000 0.885
As3 As 0.333 0.667 0.551
As4 As 0.333 0.667 0.782
As5 As 0.667 0.333 0.218
As6 As 0.667 0.333 0.449
```

The most stable arrangement is #A, and the next structure is 65 meV/atom less stable.

#A
BaAsW | GGA-PBE | relaxed

Values from the calculation:
DOS at the Fermi energy, states/eV/cell: 2.33
SG: No. 107
Total moment, μB/atom: 0.0000

```
data_BaAsW
_chemical_formula_sum 'Ba2 As2 W2'
_space_group_name_H-M_alt 'P 1'
_space_group_IT_number 1
_cell_length_a 3.425
_cell_length_b 3.425
_cell_length_c 12.392
_cell_angle_alpha 90.00
_cell_angle_beta 90.00
_cell_angle_gamma 90.00
loop_
_space_group_symop_operation_xyz
'x,y,z'
loop_
_atom_site_label
_atom_site_type_symbol
_atom_site_fract_x
_atom_site_fract_y
_atom_site_fract_z
Ba1 Ba 0.000 0.000 0.000
Ba2 Ba 0.500 0.500 0.500
As1 As 0.000 0.000 0.282
As2 As 0.500 0.500 0.782
W1 W 0.000 0.000 0.705
W2 W 0.500 0.500 0.205
```

#B
BaAsW | GGA-PBE | relaxed

Values from the calculation:
DOS at the Fermi energy, states/eV/cell: 4.81
SG: No. 187
Total moment, μB/atom: 0.1116

```
data_BaAsW
_chemical_formula_sum 'Ba1 As1 W1'
_space_group_name_H-M_alt 'P 1'
_space_group_IT_number 1
_cell_length_a 4.321
_cell_length_b 4.321
_cell_length_c 5.195
_cell_angle_alpha 90.00
_cell_angle_beta 90.00
_cell_angle_gamma 120.00
loop_
_space_group_symop_operation_xyz
'x,y,z'
loop_
_atom_site_label
_atom_site_type_symbol
_atom_site_fract_x
_atom_site_fract_y
_atom_site_fract_z
Ba1 Ba 0.000 0.000 0.000
As1 As 0.333 0.667 0.500
W1 W 0.667 0.333 0.500
```

The most stable arrangement is #A, and the next structure is 60 meV/atom less stable.

#A
BaYAs2 | GGA-PBE | relaxed

Values from the calculation:
DOS at the Fermi energy, states/eV/cell: 14.42
SG: No. 216
Total moment, μB/atom: 0.0000

```
data_BaYAs2
_chemical_formula_sum 'Ba4 Y4 As8'
_space_group_name_H-M_alt 'P 1'
_space_group_IT_number 1
_cell_length_a 7.454
_cell_length_b 7.454
_cell_length_c 7.454
_cell_angle_alpha 90.00
_cell_angle_beta 90.00
_cell_angle_gamma 90.00
loop_
_space_group_symop_operation_xyz
'x,y,z'
loop_
_atom_site_label
_atom_site_type_symbol
_atom_site_fract_x
_atom_site_fract_y
_atom_site_fract_z
Ba1 Ba 0.000 0.000 0.000
Ba2 Ba 0.000 0.500 0.500
Ba3 Ba 0.500 0.000 0.500
Ba4 Ba 0.500 0.500 0.000
Y1 Y 0.250 0.250 0.250
Y2 Y 0.250 0.750 0.750
Y3 Y 0.750 0.250 0.750
Y4 Y 0.750 0.750 0.250
As1 As 0.000 0.000 0.500
As2 As 0.000 0.500 0.000
As3 As 0.250 0.250 0.750
As4 As 0.250 0.750 0.250
As5 As 0.500 0.000 0.000
As6 As 0.500 0.500 0.500
As7 As 0.750 0.250 0.250
As8 As 0.750 0.750 0.750
```

#B
BaYAs2 | GGA-PBE | relaxed

Values from the calculation:
DOS at the Fermi energy, states/eV/cell: 4.26
SG: No. 65
Total moment, μB/atom: 0.0000

```
data_BaYAs2
_chemical_formula_sum 'Ba2 Y2 As4'
_space_group_name_H-M_alt 'P 1'
_space_group_IT_number 1
_cell_length_a 4.895
_cell_length_b 5.605
_cell_length_c 8.001
_cell_angle_alpha 90.00
_cell_angle_beta 90.00
_cell_angle_gamma 90.00
loop_
_space_group_symop_operation_xyz
'x,y,z'
loop_
_atom_site_label
_atom_site_type_symbol
_atom_site_fract_x
_atom_site_fract_y
_atom_site_fract_z
Ba1 Ba 0.000 0.000 0.000
Ba2 Ba 0.500 0.500 0.000
Y1 Y 0.000 0.000 0.500
Y2 Y 0.500 0.500 0.500
As1 As 0.000 0.500 0.286
As2 As 0.000 0.500 0.714
As3 As 0.500 0.000 0.286
As4 As 0.500 0.000 0.714
```

The most stable arrangement is #B, and the next structure is 776 meV/atom less stable.

#A
BaYAs2 | GGA-PBE | relaxed

Values from the calculation:
DOS at the Fermi energy, states/eV/cell: 27.83
SG: No. 122
Total moment, μB/atom: 0.0000

```
data_BaYAs2
_chemical_formula_sum 'Ba4 Y4 As8'
_space_group_name_H-M_alt 'P 1'
_space_group_IT_number 1
_cell_length_a 6.642
_cell_length_b 6.642
_cell_length_c 14.852
_cell_angle_alpha 90.00
_cell_angle_beta 90.00
_cell_angle_gamma 90.00
loop_
_space_group_symop_operation_xyz
'x,y,z'
loop_
_atom_site_label
_atom_site_type_symbol
_atom_site_fract_x
_atom_site_fract_y
_atom_site_fract_z
Ba1 Ba 0.000 0.000 0.000
Ba2 Ba 0.000 0.500 0.250
Ba3 Ba 0.500 0.000 0.750
Ba4 Ba 0.500 0.500 0.500
Y1 Y 0.000 0.000 0.500
Y2 Y 0.000 0.500 0.750
Y3 Y 0.500 0.000 0.250
Y4 Y 0.500 0.500 0.000
As1 As 0.185 0.250 0.625
As2 As 0.250 0.685 0.875
As3 As 0.250 0.815 0.375
As4 As 0.315 0.250 0.125
As5 As 0.685 0.750 0.125
As6 As 0.750 0.185 0.375
As7 As 0.750 0.315 0.875
As8 As 0.815 0.750 0.625
```

#B
BaYAs2 | GGA-PBE | relaxed

Values from the calculation:
DOS at the Fermi energy, states/eV/cell: 7.67
SG: No. 160
Total moment, μB/atom: 0.0000

```
data_BaYAs2
_chemical_formula_sum 'Ba3 Y3 As6'
_space_group_name_H-M_alt 'P 1'
_space_group_IT_number 1
_cell_length_a 4.262
_cell_length_b 4.262
_cell_length_c 23.385
_cell_angle_alpha 90.00
_cell_angle_beta 90.00
_cell_angle_gamma 120.00
loop_
_space_group_symop_operation_xyz
'x,y,z'
loop_
_atom_site_label
_atom_site_type_symbol
_atom_site_fract_x
_atom_site_fract_y
_atom_site_fract_z
Ba1 Ba 0.000 0.000 0.000
Ba2 Ba 0.333 0.667 0.667
Ba3 Ba 0.667 0.333 0.333
Y1 Y 0.000 0.000 0.172
Y2 Y 0.333 0.667 0.839
Y3 Y 0.667 0.333 0.505
As1 As 0.000 0.000 0.573
As2 As 0.000 0.000 0.767
As3 As 0.333 0.667 0.240
As4 As 0.333 0.667 0.433
As5 As 0.667 0.333 0.100
As6 As 0.667 0.333 0.907
```

#C
BaYAs2 | GGA-PBE | relaxed

Values from the calculation:
DOS at the Fermi energy, states/eV/cell: 11.16
SG: No. 166
Total moment, μB/atom: 0.0000

```
data_BaYAs2
_chemical_formula_sum 'Ba3 Y3 As6'
_space_group_name_H-M_alt 'P 1'
_space_group_IT_number 1
_cell_length_a 4.381
_cell_length_b 4.381
_cell_length_c 22.114
_cell_angle_alpha 90.00
_cell_angle_beta 90.00
_cell_angle_gamma 120.00
loop_
_space_group_symop_operation_xyz
'x,y,z'
loop_
_atom_site_label
_atom_site_type_symbol
_atom_site_fract_x
_atom_site_fract_y
_atom_site_fract_z
Ba1 Ba 0.000 0.000 0.000
Ba2 Ba 0.333 0.667 0.667
Ba3 Ba 0.667 0.333 0.333
Y1 Y 0.000 0.000 0.500
Y2 Y 0.333 0.667 0.167
Y3 Y 0.667 0.333 0.833
As1 As 0.000 0.000 0.235
As2 As 0.000 0.000 0.765
As3 As 0.333 0.667 0.431
As4 As 0.333 0.667 0.902
As5 As 0.667 0.333 0.098
As6 As 0.667 0.333 0.569
```

The most stable arrangement is #C, and the next structure is 50 meV/atom less stable.